Material: AlCrPbF6
Method: DFT, GGA+U
State: optimized geometry Values from VASP.

Values from the calculation:
- Calculated volume: 14.4 A^3/atom
- DFT total energy: -5.5229 eV per atom
- SG: P-31c

```
&SYSTEM
  ibrav = 0, nat = 18, ntyp = 4
/
ATOMIC_SPECIES
Al 26.98 Al.upf
F 19.00 F.upf
Cr 52.00 Cr.upf
Pb 207.20 Pb.upf
CELL_PARAMETERS angstrom
-5.696 0.254 1.803
4.357 -0.960 3.982
0.739 8.225 1.174
ATOMIC_POSITIONS crystal
Al 0.667 0.333 0.250
F 0.326 0.917 0.626
F 0.592 0.917 0.874
F 0.674 0.592 0.126
F 0.083 0.674 0.874
Cr 0.000 0.000 0.500
F 0.326 0.408 0.874
F 0.083 0.408 0.626
F 0.674 0.083 0.374
Cr 0.000 0.000 0.000
F 0.408 0.083 0.126
F 0.592 0.674 0.626
Pb 0.667 0.333 0.750
Pb 0.333 0.667 0.250
F 0.917 0.592 0.374
F 0.917 0.326 0.126
Al 0.333 0.667 0.750
F 0.408 0.326 0.374
```